[1]
## TiMn3As (PBE-GGA)

Data for a relaxed structure of TiMn3As.

Values from the calculation:
* E_form: 0.515 eV per atom

abc: 4.500 4.500 4.500
angles: 90.00 90.00 90.00
Element x y z (fractional)
Ti1 0.000 0.000 0.000
Mn1 0.000 0.500 0.500
Mn2 0.500 0.000 0.500
Mn3 0.500 0.500 0.000
As1 0.500 0.500 0.500

---

[2]
## TiMnAs2 (PBE-GGA)

Data for a relaxed structure of TiMnAs2.

Values from the calculation:
* E_form: -0.432 eV per atom

abc: 6.507 3.558 6.616
angles: 90.00 119.14 90.00
Element x y z (fractional)
Ti1 0.226 0.250 0.193
Ti2 0.774 0.750 0.807
Mn1 0.315 0.750 0.870
Mn2 0.685 0.250 0.130
As1 0.019 0.250 0.743
As2 0.440 0.250 0.679
As3 0.560 0.750 0.321
As4 0.981 0.750 0.257

---

[3]
## Ti8MnAs2 (PBE-GGA)

Data for a relaxed structure of Ti8MnAs2.

Values from the calculation:
* E_form: -0.420 eV per atom

abc: 7.806 7.806 6.657
angles: 110.71 110.71 27.88
Element x y z (fractional)
Ti1 0.033 0.033 0.309
Ti2 0.180 0.180 0.781
Ti3 0.331 0.331 0.560
Ti4 0.418 0.418 0.047
Ti5 0.582 0.582 0.953
Ti6 0.669 0.669 0.440
Ti7 0.820 0.820 0.219
Ti8 0.967 0.967 0.691
Mn1 0.500 0.500 0.500
As1 0.191 0.191 0.185
As2 0.809 0.809 0.815

---

[4]
## TiMnVAs2 (PBE-GGA)

Data for a relaxed structure of TiMnVAs2.

Values from the calculation:
* E_form: 0.653 eV per atom

abc: 4.604 4.604 4.183
angles: 90.00 90.00 90.00
Element x y z (fractional)
Ti1 0.000 0.000 0.000
Mn1 0.000 0.000 0.500
V1 0.500 0.500 0.000
As1 0.000 0.500 0.500
As2 0.500 0.000 0.500

---

[5]
## MnTlAs2 (PBE-GGA)

Data for a relaxed structure of MnTlAs2.

Values from the calculation:
* E_form: 0.198 eV per atom

abc: 7.207 7.207 7.207
angles: 130.30 130.30 72.93
Element x y z (fractional)
Mn1 0.000 0.000 0.000
Mn2 0.750 0.250 0.500
Tl1 0.250 0.750 0.500
Tl2 0.500 0.500 0.000
As1 0.000 0.625 0.875
As2 0.375 0.250 0.375
As3 0.750 0.125 0.125
As4 0.875 0.000 0.625

---

[6]
## MnTlAs2 (PBE-GGA)

Data for a relaxed structure of MnTlAs2.

Values from the calculation:
* E_form: 0.056 eV per atom

abc: 9.524 9.524 9.524
angles: 18.99 18.99 18.99
Element x y z (fractional)
Mn1 0.000 0.000 0.000
Tl1 0.500 0.500 0.500
As1 0.275 0.275 0.275
As2 0.725 0.725 0.725

---

[7]
## MnTlAs (PBE-GGA)

Data for a relaxed structure of MnTlAs.

Values from the calculation:
* E_form: -0.053 eV per atom

abc: 3.840 3.840 9.073
angles: 90.00 90.00 90.00
Element x y z (fractional)
Mn1 0.250 0.750 0.000
Mn2 0.750 0.250 0.000
Tl1 0.250 0.250 0.343
Tl2 0.750 0.750 0.657
As1 0.250 0.250 0.839
As2 0.750 0.750 0.161

---

[8]
## MnTlAs2 (PBE-GGA)

Data for a relaxed structure of MnTlAs2.

Values from the calculation:
* E_form: 0.354 eV per atom

abc: 8.876 8.876 8.876
angles: 21.35 21.35 21.35
Element x y z (fractional)
Mn1 0.000 0.000 0.000
Tl1 0.754 0.754 0.754
As1 0.278 0.278 0.278
As2 0.518 0.518 0.518

---

[9]
## MnTlAs2 (PBE-GGA)

Data for a relaxed structure of MnTlAs2.

Values from the calculation:
* E_form: 0.035 eV per atom

abc: 3.046 3.347 7.997
angles: 90.00 90.00 90.00
Element x y z (fractional)
Mn1 0.000 0.000 0.000
Tl1 0.000 0.000 0.500
As1 0.500 0.500 0.173
As2 0.500 0.500 0.827

---

[10]
## MnTlAs2 (PBE-GGA)

Data for a relaxed structure of MnTlAs2.

Values from the calculation:
* E_form: 0.509 eV per atom

abc: 4.922 4.922 4.922
angles: 60.00 60.00 60.00
Element x y z (fractional)
Mn1 0.000 0.000 0.000
Tl1 0.750 0.750 0.750
As1 0.250 0.250 0.250
As2 0.500 0.500 0.500

---

[11]
## MnTlAs2 (PBE-GGA)

Data for a relaxed structure of MnTlAs2.

Values from the calculation:
* E_form: 0.218 eV per atom

abc: 6.106 6.106 6.106
angles: 151.18 129.85 58.87
Element x y z (fractional)
Mn1 0.000 0.000 0.000
Tl1 0.500 0.500 0.000
As1 0.184 0.684 0.500
As2 0.816 0.316 0.500

---

[12]
## MnTlAs (PBE-GGA)

Data for a relaxed structure of MnTlAs.

Values from the calculation:
* E_form: 0.159 eV per atom

abc: 4.196 4.196 4.867
angles: 90.00 90.00 120.00
Element x y z (fractional)
Mn1 0.000 0.000 0.000
Tl1 0.667 0.333 0.451
As1 0.333 0.667 0.924

---

[13]
## MnTlAs2 (PBE-GGA)

Data for a relaxed structure of MnTlAs2.

Values from the calculation:
* E_form: 0.762 eV per atom

abc: 4.714 4.714 4.714
angles: 60.00 60.00 60.00
Element x y z (fractional)
Mn1 0.000 0.000 0.000
Tl1 0.500 0.500 0.500
As1 0.250 0.250 0.250
As2 0.750 0.750 0.750

---

[14]
## MnTlAs2 (PBE-GGA)

Data for a relaxed structure of MnTlAs2.

Values from the calculation:
* E_form: 0.051 eV per atom

abc: 8.529 8.529 8.529
angles: 158.38 157.93 31.09
Element x y z (fractional)
Mn1 0.000 0.000 0.000
Tl1 0.237 0.737 0.500
As1 0.564 0.564 0.000
As2 0.886 0.386 0.500

---

[15]
## MnTlAs2 (PBE-GGA)

Data for a relaxed structure of MnTlAs2.

Values from the calculation:
* E_form: 0.399 eV per atom

abc: 5.935 5.935 5.935
angles: 140.51 140.51 57.08
Element x y z (fractional)
Mn1 0.000 0.000 0.000
Tl1 0.250 0.750 0.500
As1 0.500 0.500 0.000
As2 0.750 0.250 0.500

---

[16]
## MnTlAs2 (PBE-GGA)

Data for a relaxed structure of MnTlAs2.

Values from the calculation:
* E_form: 0.223 eV per atom

abc: 3.384 3.384 7.395
angles: 90.00 90.00 90.00
Element x y z (fractional)
Mn1 0.000 0.000 0.000
Tl1 0.500 0.500 0.339
As1 0.000 0.000 0.657
As2 0.500 0.500 0.902

---

[17]
## MnTlAs2 (PBE-GGA)

Data for a relaxed structure of MnTlAs2.

Values from the calculation:
* E_form: 0.077 eV per atom

abc: 4.184 3.718 6.180
angles: 90.00 108.29 90.00
Element x y z (fractional)
Mn1 0.000 0.000 0.000
Tl1 0.000 0.000 0.500
As1 0.414 0.500 0.174
As2 0.586 0.500 0.826

---

[18]
## MnTlAs (PBE-GGA)

Data for a relaxed structure of MnTlAs.

Values from the calculation:
* E_form: 0.123 eV per atom

abc: 6.325 6.325 6.325
angles: 149.38 149.38 43.86
Element x y z (fractional)
Mn1 0.000 0.000 0.000
Tl1 0.295 0.295 0.000
As1 0.569 0.569 0.000

---

[19]
## MnTlAs (PBE-GGA)

Data for a relaxed structure of MnTlAs.

Values from the calculation:
* E_form: 0.193 eV per atom

abc: 3.560 3.560 5.952
angles: 90.00 90.00 120.00
Element x y z (fractional)
Mn1 0.000 0.000 0.000
Tl1 0.667 0.333 0.358
As1 0.333 0.667 0.785

---

[20]
## MnTlAs2 (PBE-GGA)

Data for a relaxed structure of MnTlAs2.

Values from the calculation:
* E_form: -0.047 eV per atom

abc: 3.814 3.814 7.357
angles: 104.92 104.92 59.70
Element x y z (fractional)
Mn1 0.000 0.000 0.000
Tl1 0.500 0.500 0.500
As1 0.276 0.276 0.830
As2 0.724 0.724 0.170

---

[21]
## MnTlAs (PBE-GGA)

Data for a relaxed structure of MnTlAs.

Values from the calculation:
* E_form: 0.297 eV per atom

abc: 4.586 4.586 4.586
angles: 60.00 60.00 60.00
Element x y z (fractional)
Mn1 0.000 0.000 0.000
Tl1 0.250 0.250 0.250
As1 0.750 0.750 0.750

---

[22]
## MnTlAs2 (PBE-GGA)

Data for a relaxed structure of MnTlAs2.

Values from the calculation:
* E_form: 0.124 eV per atom

abc: 4.463 4.463 5.313
angles: 90.00 90.00 90.00
Element x y z (fractional)
Mn1 0.000 0.000 0.000
Tl1 0.500 0.500 0.500
As1 0.000 0.500 0.830
As2 0.500 0.000 0.170

---

[23]
## MnTlAs2 (PBE-GGA)

Data for a relaxed structure of MnTlAs2.

Values from the calculation:
* E_form: 0.369 eV per atom

abc: 4.833 4.833 3.764
angles: 90.00 90.00 107.22
Element x y z (fractional)
Mn1 0.000 0.000 0.000
Tl1 0.500 0.500 0.000
As1 0.000 0.500 0.500
As2 0.500 0.000 0.500

---

[24]
## MnTlAs4 (PBE-GGA)

Data for a relaxed structure of MnTlAs4.

Values from the calculation:
* E_form: 0.437 eV per atom

abc: 5.693 5.693 5.693
angles: 60.00 60.00 60.00
Element x y z (fractional)
Mn1 0.000 0.000 0.000
Tl1 0.750 0.750 0.750
As1 0.374 0.374 0.374
As2 0.374 0.374 0.878
As3 0.374 0.878 0.374
As4 0.878 0.374 0.374

---

[25]
## MnTlAs2 (PBE-GGA)

Data for a relaxed structure of MnTlAs2.

Values from the calculation:
* E_form: 0.407 eV per atom

abc: 5.203 5.203 5.203
angles: 129.03 129.03 74.97
Element x y z (fractional)
Mn1 0.000 0.000 0.000
Tl1 0.500 0.500 0.000
As1 0.250 0.750 0.500
As2 0.750 0.250 0.500

---

[26]
## TmMnAs3 (PBE-GGA)

Data for a relaxed structure of TmMnAs3.

Values from the calculation:
* E_form: -0.663 eV per atom

abc: 11.899 5.650 5.503
angles: 90.00 90.00 90.00
Element x y z (fractional)
Tm1 0.187 0.004 0.250
Tm2 0.187 0.496 0.750
Tm3 0.813 0.504 0.250
Tm4 0.813 0.996 0.750
Mn1 0.410 0.750 0.000
Mn2 0.410 0.750 0.500
Mn3 0.590 0.250 0.000
Mn4 0.590 0.250 0.500
As1 0.002 0.750 0.000
As2 0.002 0.750 0.500
As3 0.276 0.501 0.250
As4 0.276 0.999 0.750
As5 0.431 0.110 0.250
As6 0.431 0.390 0.750
As7 0.569 0.610 0.250
As8 0.569 0.890 0.750
As9 0.724 0.001 0.250
As10 0.724 0.499 0.750
As11 0.998 0.250 0.000
As12 0.998 0.250 0.500

---

[27]
## U2MnAs (PBE-GGA)

Data for a relaxed structure of U2MnAs.

Values from the calculation:
* E_form: 0.042 eV per atom

abc: 5.388 5.388 5.388
angles: 48.41 48.41 48.41
Element x y z (fractional)
U1 0.239 0.239 0.239
U2 0.761 0.761 0.761
Mn1 0.500 0.500 0.500
As1 0.000 0.000 0.000

---

[28]
## MnVAs (PBE-GGA)

Data for a relaxed structure of MnVAs.

Values from the calculation:
* E_form: -0.248 eV per atom

abc: 3.674 3.674 6.475
angles: 90.00 90.00 90.00
Element x y z (fractional)
Mn1 0.250 0.250 0.162
Mn2 0.750 0.750 0.838
V1 0.250 0.750 0.500
V2 0.750 0.250 0.500
As1 0.250 0.250 0.778
As2 0.750 0.750 0.222

---

[29]
## MnV3As (PBE-GGA)

Data for a relaxed structure of MnV3As.

Values from the calculation:
* E_form: 0.640 eV per atom

abc: 4.299 4.299 4.299
angles: 90.00 90.00 90.00
Element x y z (fractional)
Mn1 0.000 0.000 0.000
V1 0.000 0.000 0.500
V2 0.000 0.500 0.000
V3 0.500 0.000 0.000
As1 0.500 0.500 0.500

---

no.,M_tot (Bohr magnetons per cell)
1,7.77
2,5.49
3,0.00
4,0.70
5,0.00
6,0.16
7,3.60
8,2.40
9,2.72
10,4.25
11,2.52
12,4.11
13,0.00
14,2.49
15,3.91
16,3.09
17,3.61
18,3.12
19,3.12
20,2.81
21,4.13
22,3.46
23,3.81
24,4.52
25,3.86
26,9.05
27,3.38
28,6.45
29,0.02